VASP calculation (PBE) on a geometry-optimized LaCeEuTh structure.

CIF file:
```
data_LaCeEuTh
_symmetry_space_group_name_H-M 'P 1'
_symmetry_Int_Tables_number 1
_cell_length_a 5.796
_cell_length_b 5.796
_cell_length_c 5.796
_cell_angle_alpha 60.00
_cell_angle_beta 60.00
_cell_angle_gamma 60.00
loop_
_symmetry_equiv_pos_as_xyz
'x,y,z'
loop_
_atom_site_label
_atom_site_fract_x
_atom_site_fract_y
_atom_site_fract_z
La1 0.000 0.000 0.000
Ce1 0.750 0.750 0.750
Eu1 0.250 0.250 0.250
Th1 0.500 0.500 0.500
```

Summary:
**ΔH_f (0 K)**: 27.1 kJ per mole of atoms
**Magnetic moment**: 10.27 μB/f.u.
**Crystal system**: cubic
**Final energy**: -27.4 eV per formula unit